A relaxed structure of ErTm2Al3, computed with GGA-PBE.

The calculation puts the polymorph energy (0 for the lowest one) at 268 meV per atom. Its total energy is -25.46 eV per formula unit. The value obtained for the calculated formation energy is -0.122 eV/atom.

a = 7.7251 Å, b = 7.7251 Å, c = 7.7251 Å
α = 99.89°, β = 96.83°, γ = 135.18°
Fractional coordinates of all 12 atoms:
Er: 0.4992 0.2492 0.2500
Er: 0.5008 0.7508 0.7500
Tm: 0.1661 0.7498 0.4163
Tm: 0.1666 0.2502 0.9163
Tm: 0.8334 0.7498 0.0837
Tm: 0.8339 0.2502 0.5837
Al: 0.0000 0.0000 0.5000
Al: 0.0000 0.2499 0.2499
Al: 0.0000 0.5000 0.0000
Al: 0.0000 0.7501 0.7501
Al: 0.5000 0.2499 0.7499
Al: 0.5000 0.7501 0.2501



A relaxed structure of CoCuOs, computed with GGA-PBE.

The calculation puts the polymorph energy (0 for the lowest one) at 67 meV per atom. Its total energy is -21.54 eV per formula unit. The value obtained for the calculated formation energy is 0.297 eV/atom.

a = 4.4909 Å, b = 4.4909 Å, c = 4.4909 Å
α = 146.28°, β = 132.04°, γ = 59.91°
Fractional coordinates of all 3 atoms:
Co: 0.0000 0.0000 0.0000
Cu: 0.6708 0.6708 0.0000
Os: 0.3443 0.3443 0.0000



A relaxed structure of Pm2SbH, computed with GGA-PBE.

The calculation puts the polymorph energy (0 for the lowest one) at 213 meV per atom. Its total energy is -19.44 eV per formula unit.

a = 6.9296 Å, b = 6.9296 Å, c = 6.9296 Å
α = 35.40°, β = 35.40°, γ = 35.40°
Fractional coordinates of all 4 atoms:
Pm: 0.2376 0.2376 0.2376
Pm: 0.7624 0.7624 0.7624
Sb: 0.0000 0.0000 0.0000
H: 0.5000 0.5000 0.5000



A relaxed structure of AcTb6Er12, computed with GGA-PBE.

Its total energy is -78.57 eV per formula unit. The value obtained for the calculated formation energy is 0.425 eV/atom.

a = 9.2619 Å, b = 9.2619 Å, c = 9.2619 Å
α = 107.72°, β = 107.72°, γ = 107.72°
Fractional coordinates of all 19 atoms:
Ac: 0.0000 0.0000 0.0000
Tb: 0.2551 0.6903 0.6903
Tb: 0.3097 0.3097 0.7449
Tb: 0.3097 0.7449 0.3097
Tb: 0.6903 0.2551 0.6903
Tb: 0.6903 0.6903 0.2551
Tb: 0.7449 0.3097 0.3097
Er: 0.1100 0.5000 0.8900
Er: 0.1100 0.8900 0.5000
Er: 0.1665 0.3828 0.3828
Er: 0.3828 0.1665 0.3828
Er: 0.3828 0.3828 0.1665
Er: 0.5000 0.1100 0.8900
Er: 0.5000 0.8900 0.1100
Er: 0.6172 0.6172 0.8335
Er: 0.6172 0.8335 0.6172
Er: 0.8335 0.6172 0.6172
Er: 0.8900 0.1100 0.5000
Er: 0.8900 0.5000 0.1100



A relaxed structure of Ce2DySi4Pt3, computed with GGA-PBE.

Its total energy is -66.03 eV per formula unit. As for the formation energy without anion corrections: -9.7 eV/f.u.

a = 4.2692 Å, b = 4.2692 Å, c = 10.7078 Å
α = 90.00°, β = 90.00°, γ = 90.00°
Fractional coordinates of all 10 atoms:
Ce: 0.0000 0.5000 0.2314
Ce: 0.5000 0.0000 0.7686
Dy: 0.0000 0.0000 0.5000
Si: 0.0000 0.0000 0.0000
Si: 0.0000 0.5000 0.6657
Si: 0.5000 0.0000 0.3343
Si: 0.5000 0.5000 0.0000
Pt: 0.0000 0.5000 0.8909
Pt: 0.5000 0.0000 0.1091
Pt: 0.5000 0.5000 0.5000



A relaxed structure of NbCr2, computed with GGA-PBE.

Its total energy is -29.12 eV per formula unit. The value obtained for the calculated formation energy is 0.067 eV/atom.

a = 5.0550 Å, b = 5.0550 Å, c = 5.0550 Å
α = 145.33°, β = 145.33°, γ = 49.84°
Fractional coordinates of all 3 atoms:
Nb: 0.0000 0.0000 0.0000
Cr: 0.3236 0.3236 0.0000
Cr: 0.6764 0.6764 0.0000